The following is a PBE-GGA calculation of an optimized crystal structure of AcPm2Y2Er2, from the Alexandria database.

abc: 11.4415 5.1539 8.1592
angles: 90.00 98.10 90.00
Closest atoms and distances in Å follow each position.
Space group C2/m (No. 12)
Unique sites:
Ac 0.0000 0.0000 0.0000 (multiplicity 2)  6 Y 3.65, 2 Er 3.68, 4 Pm 3.69
Pm 0.0740 0.5000 0.7079 (multiplicity 4)  5 Er 3.57-3.65, 1 Pm 3.57, 4 Y 3.61-3.75, 2 Ac 3.69
Y 0.2143 0.5000 0.1516 (multiplicity 4)  3 Er 3.54-3.63, 4 Pm 3.61-3.75, 3 Ac 3.65, 2 Y 3.74
Er 0.1426 0.0000 0.4340 (multiplicity 4)  3 Y 3.54-3.63, 5 Pm 3.57-3.65, 3 Er 3.58-3.62, 1 Ac 3.68

Computed properties:
calculated formation energy: 0.039 eV/atom
E: -5.06 eV per atom

The following is a PBE-GGA calculation of an optimized crystal structure of Ac3PmHo, from the Alexandria database.

abc: 11.6630 7.5988 9.4977
angles: 90.00 107.96 90.00
Closest atoms and distances in Å follow each position.
Space group C2/m (No. 12)
Unique sites:
Ac 0.0578 0.2496 0.2314 (multiplicity 8)  7 Ac 3.79-4.18, 3 Pm 3.80-3.83, 3 Ho 3.80-3.82
Ac 0.2480 0.0000 0.9965 (multiplicity 4)  1 Ho 3.62, 1 Pm 3.65, 4 Ac 3.80-4.03
Pm 0.1502 0.5000 0.5992 (multiplicity 4)  3 Ho 3.41-3.80, 1 Pm 3.43, 5 Ac 3.65-3.81
Ho 0.1485 0.0000 0.5957 (multiplicity 4)  1 Ho 3.38, 1 Pm 3.41, 1 Ac 3.62

Computed properties:
calculated formation energy: 0.043 eV/atom
E: -4.29 eV per atom

The following is a PBE-GGA calculation of an optimized crystal structure of SmHfAl, from the Alexandria database.

abc: 7.6087 7.6087 4.4586
angles: 90.00 90.00 120.00
Closest atoms and distances in Å follow each position.
Space group P-62m (No. 189)
Unique sites:
Sm 0.0000 0.4144 0.0000 (multiplicity 3)  5 Al 3.15-3.20, 2 Hf 3.48
Hf 0.0000 0.7649 0.5000 (multiplicity 3)  4 Al 2.86-2.98, 2 Hf 3.10
Al 0.0000 0.0000 0.0000 (multiplicity 1)  6 Hf 2.86, 3 Sm 3.15
Al 0.3333 0.6667 0.5000 (multiplicity 2)  3 Hf 2.98, 6 Sm 3.20

Computed properties:
calculated formation energy: -0.134 eV/atom
E: -6.27 eV per atom

The following is a PBE-GGA calculation of an optimized crystal structure of MnCoOs2, from the Alexandria database.

abc: 2.8009 4.4477 8.6397
angles: 90.00 90.00 90.00
Closest atoms and distances in Å follow each position.
Space group Cmmm (No. 65)
Unique sites:
Mn 0.0000 0.0000 0.0000 (multiplicity 2)  4 Os 2.57, 6 Mn 2.63-2.80
Co 0.0000 0.0000 0.5000 (multiplicity 2)  4 Os 2.58, 6 Co 2.63-2.80
Os 0.0000 0.5000 0.2496 (multiplicity 4)  2 Mn 2.57, 2 Co 2.58, 6 Os 2.63-2.80

Computed properties:
calculated formation energy: 0.375 eV/atom
E: -9.31 eV per atom

The following is a PBE-GGA calculation of an optimized crystal structure of Sc4ReIr, from the Alexandria database.

abc: 7.5995 7.5995 7.5995
angles: 90.00 90.00 90.00
Closest atoms and distances in Å follow each position.
Space group F-43m (No. 216)
Unique sites:
Sc 0.1250 0.1250 0.1250 (multiplicity 16)  6 Sc 2.69
Re 0.0000 0.0000 0.5000 (multiplicity 4)  12 Sc 3.15, 4 Ir 3.29
Ir 0.2500 0.2500 0.7500 (multiplicity 4)  12 Sc 3.15, 4 Re 3.29

Computed properties:
calculated formation energy: 0.471 eV/atom
E: -7.30 eV per atom

The following is a PBE-GGA calculation of an optimized crystal structure of GaTcMo2Pb, from the Alexandria database.

abc: 4.6783 4.6783 5.0321
angles: 90.00 90.00 90.00
Closest atoms and distances in Å follow each position.
Space group P4/mmm (No. 123)
Unique sites:
Ga 0.0000 0.0000 0.0000 (multiplicity 1)  4 Mo 2.34, 2 Pb 2.52
Tc 0.5000 0.5000 0.5000 (multiplicity 1)  4 Pb 3.31, 8 Mo 3.44
Mo 0.0000 0.5000 0.0000 (multiplicity 2)  2 Ga 2.34
Pb 0.0000 0.0000 0.5000 (multiplicity 1)  2 Ga 2.52

Computed properties:
calculated formation energy: 1.886 eV/atom
E: -5.87 eV per atom

The following is a PBE-GGA calculation of an optimized crystal structure of Rb2Cd12Hg5, from the Alexandria database.

abc: 10.7224 10.7224 15.2905
angles: 90.00 90.00 120.00
Closest atoms and distances in Å follow each position.
Space group R-3m (No. 166, hexagonal axes)
Unique sites:
Rb 0.0000 0.0000 0.1627 (multiplicity 6)  4 Hg 3.66-4.05, 15 Cd 3.78-4.06
Cd 0.0000 0.2985 0.5000 (multiplicity 18)  2 Hg 3.03, 6 Cd 3.18-3.22
Cd 0.0073 0.5037 0.6528 (multiplicity 18)  6 Cd 3.06-3.22, 3 Hg 3.14-3.40
Hg 0.0000 0.0000 0.4017 (multiplicity 6)  4 Hg 3.01-3.27
Hg 0.0000 0.5000 0.0000 (multiplicity 9)  8 Cd 3.03-3.14, 2 Hg 3.27

Computed properties:
calculated formation energy: -0.042 eV/atom
E: -0.80 eV per atom

The following is a PBE-GGA calculation of an optimized crystal structure of Ho2Si3Ni12Pd, from the Alexandria database.

abc: 8.4986 8.4986 11.6997
angles: 90.00 90.00 120.00
Closest atoms and distances in Å follow each position.
Space group R-3m (No. 166, hexagonal axes)
Unique sites:
Ho 0.0000 0.0000 0.1646 (multiplicity 6)  6 Ni 2.48-2.73
Si 0.0000 0.5000 0.0000 (multiplicity 9)  2 Ni 2.24
Ni 0.0012 0.5006 0.1918 (multiplicity 18)  1 Si 2.24, 1 Ni 2.33, 1 Pd 2.46, 1 Ho 2.48
Ni 0.0068 0.5034 0.3913 (multiplicity 18)  2 Ni 2.33-2.55, 2 Si 2.52
Pd 0.0000 0.0000 0.5000 (multiplicity 3)  6 Ni 2.46

Computed properties:
E: -5.68 eV per atom
energy relative to the elements, uncorrected: -127 meV/atom